The following is a DFT calculation (PBE-GGA) of LaAgIO2 after structural relaxation.

Values from the calculation:
- V: 136.19 Å³ per cell
- Distance to the lowest polymorph of the same formula: 327.6 meV/atom
- SG: P4/mmm (123)
- Formation energy without anion corrections: -1272.4 meV/atom

a = 4.3782 Å, b = 4.3782 Å, c = 7.1050 Å
α = 90.00°, β = 90.00°, γ = 90.00°
With the nearest neighbours (Å) after each atom.
Fractional positions:
O (0.0000, 0.5000, 0.0000)  2 La 2.19
La (0.0000, 0.0000, 0.0000)  4 O 2.19
Ag (0.5000, 0.5000, 0.5000)  4 I 3.10
O (0.5000, 0.0000, 0.0000)  2 La 2.19
I (0.0000, 0.0000, 0.5000)  4 Ag 3.10

***

The following is a DFT calculation (PBE-GGA) of KAl2ZnAu4 after structural relaxation.

Values from the calculation:
- V: 172.72 Å³ per cell
- SG: R-3m (166)
- Energy of formation: -0.266 eV/atom

a = 4.4013 Å, b = 4.4013 Å, c = 10.6044 Å
α = 78.02°, β = 78.02°, γ = 60.00°
With the nearest neighbours (Å) after each atom.
Fractional positions:
Au (0.8646, 0.8646, 0.4061)  3 Zn 2.72, 3 Al 2.80
Zn (0.5000, 0.5000, 0.5000)  8 Au 2.72
K (0.0000, 0.0000, 0.0000)  6 Au 3.52, 6 Al 3.94
Au (0.4120, 0.4120, 0.7640)  3 Al 2.61, 1 Zn 2.72
Al (0.2360, 0.2360, 0.2919)  6 Au 2.61-2.80
Au (0.1354, 0.1354, 0.5939)  3 Zn 2.72, 3 Al 2.80
Al (0.7640, 0.7640, 0.7081)  6 Au 2.61-2.80
Au (0.5880, 0.5880, 0.2360)  3 Al 2.61, 1 Zn 2.72

***

The following is a DFT calculation (PBE-GGA) of PmSmY14 after structural relaxation.

Values from the calculation:
- V: 518.61 Å³ per cell
- SG: P4/mmm (123)
- Energy of formation: 0.020 eV/atom

a = 7.1647 Å, b = 7.1647 Å, c = 10.1028 Å
α = 90.00°, β = 90.00°, γ = 90.00°
With the nearest neighbours (Å) after each atom.
Fractional positions:
Y (0.6251, 0.8751, 0.7492)  10 Y 3.57-3.58, 1 Sm 3.58, 1 Pm 3.58
Y (0.1249, 0.8751, 0.7492)  10 Y 3.57-3.58, 1 Sm 3.58, 1 Pm 3.58
Y (0.1249, 0.3749, 0.2508)  10 Y 3.57-3.58, 1 Sm 3.58, 1 Pm 3.58
Y (0.8751, 0.6251, 0.5000)  12 Y 3.57-3.58
Y (0.6251, 0.3749, 0.2509)  10 Y 3.57-3.58, 1 Sm 3.58, 1 Pm 3.58
Y (0.1249, 0.8751, 0.2508)  10 Y 3.57-3.58, 1 Sm 3.58, 1 Pm 3.58
Y (0.3749, 0.1249, 0.5000)  12 Y 3.57-3.58
Y (0.6251, 0.8751, 0.2508)  10 Y 3.57-3.58, 1 Sm 3.58, 1 Pm 3.58
Y (0.8749, 0.1251, 0.5000)  12 Y 3.57-3.58
Y (0.3750, 0.6250, 0.5000)  12 Y 3.57-3.58
Y (0.8748, 0.6248, 0.0000)  2 Pm 3.58, 2 Sm 3.58, 8 Y 3.58
Y (0.1249, 0.3749, 0.7492)  10 Y 3.57-3.58, 1 Sm 3.58, 1 Pm 3.58
Y (0.6251, 0.3749, 0.7491)  10 Y 3.57-3.58, 1 Sm 3.58, 1 Pm 3.58
Pm (0.3749, 0.6251, 0.0000)  12 Y 3.58
Sm (0.8751, 0.1249, 0.0000)  12 Y 3.58
Y (0.3752, 0.1252, 0.0000)  2 Pm 3.58, 2 Sm 3.58, 8 Y 3.58

***

The following is a DFT calculation (PBE-GGA) of TaCoSb2 after structural relaxation.

Values from the calculation:
- V: 74.99 Å³ per cell
- SG: Immm (71)
- Formation energy without anion corrections: 352.4 meV/atom

a = 5.1547 Å, b = 5.1547 Å, c = 5.1547 Å
α = 138.70°, β = 121.97°, γ = 73.70°
With the nearest neighbours (Å) after each atom.
Fractional positions:
Co (0.2500, 0.7500, 0.5000)  4 Sb 2.56
Ta (0.7500, 0.2500, 0.5000)  8 Sb 2.95-3.08, 4 Co 3.09
Sb (0.0321, 0.0321, 0.0000)  2 Co 2.56
Sb (0.4679, 0.4679, 0.0000)  2 Co 2.56

***

The following is a DFT calculation (PBE-GGA) of Ho3GaNi3 after structural relaxation.

Values from the calculation:
- V: 263.43 Å³ per cell
- Distance to the lowest polymorph of the same formula: 0.0 meV/atom
- SG: Cmcm (63)
- Energy of formation: -0.543 eV/atom

a = 4.1027 Å, b = 5.3238 Å, c = 13.0696 Å
α = 90.00°, β = 90.00°, γ = 112.66°
With the nearest neighbours (Å) after each atom.
Fractional positions:
Ho (0.7886, 0.5771, 0.3962)  6 Ni 2.85-2.92, 1 Ga 3.14
Ho (0.2114, 0.4229, 0.6038)  6 Ni 2.85-2.92, 1 Ga 3.14
Ni (0.9215, 0.8429, 0.9098)  1 Ni 2.46, 2 Ga 2.49
Ho (0.5057, 0.0114, 0.2500)  7 Ni 2.88-3.01
Ni (0.0785, 0.1571, 0.4098)  1 Ni 2.46, 2 Ga 2.49
Ho (0.2114, 0.4229, 0.8962)  6 Ni 2.85-2.92, 1 Ga 3.14
Ni (0.2112, 0.4225, 0.2500)  2 Ni 2.46
Ni (0.0785, 0.1571, 0.0902)  1 Ni 2.46, 2 Ga 2.49
Ga (0.5000, 0.0000, 0.5000)  4 Ni 2.49
Ho (0.7886, 0.5771, 0.1038)  6 Ni 2.85-2.92, 1 Ga 3.14
Ho (0.4943, 0.9886, 0.7500)  7 Ni 2.88-3.01
Ni (0.7888, 0.5775, 0.7500)  2 Ni 2.46
Ga (0.5000, 0.0000, 0.0000)  4 Ni 2.49
Ni (0.9215, 0.8429, 0.5902)  1 Ni 2.46, 2 Ga 2.49

***

The following is a DFT calculation (PBE-GGA) of OsWBr2 after structural relaxation.

Values from the calculation:
- V: 98.05 Å³ per cell
- Distance to the lowest polymorph of the same formula: 592.4 meV/atom
- SG: Immm (71)
- Formation energy without anion corrections: 801.0 meV/atom

a = 7.8701 Å, b = 7.8701 Å, c = 7.8701 Å
α = 157.17°, β = 148.71°, γ = 39.08°
With the nearest neighbours (Å) after each atom.
Fractional positions:
Os (0.7500, 0.2500, 0.5000)  4 W 2.63
W (0.2500, 0.7500, 0.5000)  4 Os 2.63, 4 Br 2.68
Br (0.1030, 0.1030, 0.0000)  2 W 2.68
Br (0.3970, 0.3970, 0.0000)  2 W 2.68

***

The following is a DFT calculation (PBE-GGA) of ZrCrCl2 after structural relaxation.

Values from the calculation:
- V: 95.17 Å³ per cell
- Distance to the lowest polymorph of the same formula: 15.7 meV/atom
- SG: Pm (6)
- Formation energy without anion corrections: -672.5 meV/atom

a = 3.3377 Å, b = 3.5095 Å, c = 8.2908 Å
α = 78.52°, β = 90.00°, γ = 90.00°
With the nearest neighbours (Å) after each atom.
Fractional positions:
Cl (0.0000, 0.8530, 0.9395)  2 Zr 2.57
Zr (0.5000, 0.9651, 0.6989)  3 Cl 2.57-2.76
Cr (0.0000, 0.5576, 0.5018)  4 Cl 2.68, 4 Zr 2.90
Cl (0.5000, 0.1243, 0.3598)  4 Cr 2.68, 1 Zr 2.76

***

The following is a DFT calculation (PBE-GGA) of AlS2I after structural relaxation.

Values from the calculation:
- V: 80.31 Å³ per cell
- Distance to the lowest polymorph of the same formula: 1084.4 meV/atom
- SG: Fm-3m (225)
- Formation energy without anion corrections: 585.0 meV/atom

a = 4.8427 Å, b = 4.8427 Å, c = 4.8427 Å
α = 60.00°, β = 60.00°, γ = 60.00°
With the nearest neighbours (Å) after each atom.
Fractional positions:
Al (0.0000, 0.0000, 0.0000)  8 S 2.97
I (0.5000, 0.5000, 0.5000)  8 S 2.97
S (0.7500, 0.7500, 0.7500)  4 I 2.97, 4 Al 2.97
S (0.2500, 0.2500, 0.2500)  4 I 2.97, 4 Al 2.97

***

The following is a DFT calculation (PBE-GGA) of Nd3HoTm2 after structural relaxation.

Values from the calculation:
- V: 391.74 Å³ per cell
- Distance to the lowest polymorph of the same formula: 0.0 meV/atom
- SG: C2/c (15)
- Energy of formation: 0.059 eV/atom

a = 9.0163 Å, b = 6.6862 Å, c = 6.6862 Å
α = 94.81°, β = 81.40°, γ = 81.40°
With the nearest neighbours (Å) after each atom.
Fractional positions:
Nd (0.0167, 0.8140, 0.6479)  3 Nd 3.21-3.52, 2 Ho 3.34-3.56, 1 Tm 3.58
Nd (0.7500, 0.6062, 0.3938)  4 Nd 3.21-3.52, 1 Ho 3.26, 4 Tm 3.59-3.60
Ho (0.7500, 0.9371, 0.0629)  5 Nd 3.26-3.56, 2 Tm 3.55
Tm (0.6209, 0.1199, 0.6259)  2 Tm 3.44-3.62, 3 Ho 3.55-3.81, 6 Nd 3.58-3.73
Nd (0.2500, 0.3938, 0.6062)  4 Nd 3.21-3.52, 1 Ho 3.26, 4 Tm 3.59-3.60
Ho (0.2500, 0.0629, 0.9371)  5 Nd 3.26-3.56, 2 Tm 3.55
Nd (0.5167, 0.6479, 0.8140)  3 Nd 3.21-3.52, 2 Ho 3.34-3.56, 1 Tm 3.58
Nd (0.4833, 0.3521, 0.1860)  3 Nd 3.21-3.52, 2 Ho 3.34-3.56, 1 Tm 3.58
Tm (0.8791, 0.3741, 0.8801)  2 Tm 3.44-3.62, 3 Ho 3.55-3.81, 6 Nd 3.58-3.73
Tm (0.3791, 0.8801, 0.3741)  2 Tm 3.44-3.62, 3 Ho 3.55-3.81, 6 Nd 3.58-3.73
Nd (0.9833, 0.1860, 0.3521)  3 Nd 3.21-3.52, 2 Ho 3.34-3.56, 1 Tm 3.58
Tm (0.1209, 0.6259, 0.1199)  2 Tm 3.44-3.62, 3 Ho 3.55-3.81, 6 Nd 3.58-3.73

***

The following is a DFT calculation (PBE-GGA) of Ba6Pt2SeBr3 after structural relaxation.

Values from the calculation:
- V: 460.30 Å³ per cell
- SG: C2/m (12)
- Formation energy without anion corrections: -1474.5 meV/atom

a = 4.6195 Å, b = 9.8960 Å, c = 10.7780 Å
α = 106.57°, β = 102.37°, γ = 90.00°
With the nearest neighbours (Å) after each atom.
Fractional positions:
Se (0.5000, 0.0000, 0.0000)  6 Ba 3.29-3.35
Br (0.8410, 0.1617, 0.6819)  6 Ba 3.49-3.67
Br (0.1590, 0.8383, 0.3181)  6 Ba 3.49-3.67
Ba (0.6663, 0.1144, 0.3325)  2 Pt 3.16, 1 Se 3.35
Br (0.5000, 0.5000, 0.0000)  6 Ba 3.51-3.59
Pt (0.8331, 0.6667, 0.6661)  6 Ba 3.08-3.21
Ba (0.3337, 0.8856, 0.6675)  2 Pt 3.16, 1 Se 3.35
Ba (0.0139, 0.2435, 0.0278)  1 Pt 3.08, 2 Se 3.29
Ba (0.6769, 0.5635, 0.3537)  3 Pt 3.15-3.21
Pt (0.1669, 0.3333, 0.3339)  6 Ba 3.08-3.21
Ba (0.3231, 0.4365, 0.6463)  3 Pt 3.15-3.21
Ba (0.9861, 0.7565, 0.9722)  1 Pt 3.08, 2 Se 3.29

***

The following is a DFT calculation (PBE-GGA) of CsSiTe4 after structural relaxation.

Values from the calculation:
- V: 536.23 Å³ per cell
- Distance to the lowest polymorph of the same formula: 0.0 meV/atom
- SG: C2/c (15)
- Formation energy without anion corrections: -346.5 meV/atom

a = 9.4191 Å, b = 7.9020 Å, c = 11.8102 Å
α = 124.75°, β = 126.61°, γ = 53.80°
With the nearest neighbours (Å) after each atom.
Fractional positions:
Te (0.6059, 0.0136, 0.2626)  1 Si 2.52
Te (0.8434, 0.7511, 0.7374)  1 Si 2.52
Te (0.1336, 0.2734, 0.9104)  1 Si 2.55
Te (0.8664, 0.7266, 0.0896)  1 Si 2.55
Te (0.2768, 0.6370, 0.9104)  1 Si 2.55
Te (0.7232, 0.3630, 0.0896)  1 Si 2.55
Cs (0.4041, 0.6541, 0.3082)  8 Te 3.91-4.21
Si (0.7208, 0.9708, 0.9416)  4 Te 2.52-2.55
Te (0.1566, 0.2489, 0.2626)  1 Si 2.52
Te (0.3941, 0.9864, 0.7374)  1 Si 2.52
Cs (0.5959, 0.3459, 0.6918)  8 Te 3.91-4.21
Si (0.2792, 0.0292, 0.0584)  4 Te 2.52-2.55

***

The following is a DFT calculation (PBE-GGA) of Pm4CdRu after structural relaxation.

Values from the calculation:
- V: 351.98 Å³ per cell
- Distance to the lowest polymorph of the same formula: 54.6 meV/atom
- SG: C2/c (15)
- Energy of formation: -0.227 eV/atom

a = 6.3545 Å, b = 9.3443 Å, c = 7.8706 Å
α = 115.44°, β = 99.35°, γ = 113.97°
With the nearest neighbours (Å) after each atom.
Fractional positions:
Pm (0.3966, 0.9402, 0.6648)  2 Ru 2.84-2.86
Cd (0.6270, 0.3770, 0.7540)  8 Pm 3.28-3.41
Pm (0.2318, 0.2755, 0.3352)  2 Ru 2.84-2.86
Cd (0.3730, 0.6230, 0.2460)  8 Pm 3.28-3.41
Pm (0.8992, 0.7986, 0.1680)  2 Ru 3.06-3.16, 2 Cd 3.28-3.37
Pm (0.1008, 0.2014, 0.8320)  2 Ru 3.06-3.16, 2 Cd 3.28-3.37
Ru (0.7508, 0.0008, 0.0016)  8 Pm 2.84-3.16, 2 Ru 3.18
Pm (0.2312, 0.6306, 0.8320)  2 Ru 3.06-3.16, 2 Cd 3.28-3.37
Pm (0.7688, 0.3694, 0.1680)  2 Ru 3.06-3.16, 2 Cd 3.28-3.37
Pm (0.6034, 0.0598, 0.3352)  2 Ru 2.84-2.86
Ru (0.2492, 0.9992, 0.9984)  8 Pm 2.84-3.16, 2 Ru 3.18
Pm (0.7682, 0.7245, 0.6648)  2 Ru 2.84-2.86